# 1
The following is a PBE-GGA calculation of a relaxed CdAsP2I crystal, from Alexandria.

Results
- raw total energy (eV per formula unit) = -14.42
- crystal system = tetragonal
- D(E_F) (states/eV/f.u.) = 2.98
- magnetization (μB/cell) = 0.00
- formation energy from raw total energies (eV/atom) = 0.70

a = 4.6591 Å, b = 4.6591 Å, c = 6.3848 Å
α = 90.00°, β = 90.00°, γ = 90.00°
Space group P4/mmm (No. 123)
Unique sites:
Cd 0.0000 0.0000 0.0000
As 0.0000 0.0000 0.5000
P 0.0000 0.5000 0.5000
I 0.5000 0.5000 0.0000

# 2
The following is a PBE-GGA calculation of a relaxed CdAsPd2I crystal, from Alexandria.

Results
- raw total energy (eV per formula unit) = -13.39
- crystal system = tetragonal
- D(E_F) (states/eV/f.u.) = 3.75
- magnetization (μB/cell) = 0.75
- formation energy from raw total energies (eV/atom) = 0.82

a = 4.9669 Å, b = 4.9669 Å, c = 5.7683 Å
α = 90.00°, β = 90.00°, γ = 90.00°
Space group P4/mmm (No. 123)
Unique sites:
Cd 0.0000 0.0000 0.0000
As 0.5000 0.5000 0.0000
Pd 0.0000 0.5000 0.5000
I 0.0000 0.0000 0.5000

# 3
The following is a PBE-GGA calculation of a relaxed Rb2CdAsI crystal, from Alexandria.

Results
- raw total energy (eV per formula unit) = -12.03
- crystal system = tetragonal
- D(E_F) (states/eV/f.u.) = 2.82
- magnetization (μB/cell) = 0.00
- formation energy from raw total energies (eV/atom) = -0.60

a = 6.8448 Å, b = 6.8448 Å, c = 5.0117 Å
α = 90.00°, β = 90.00°, γ = 90.00°
Space group P4/mmm (No. 123)
Unique sites:
Rb 0.0000 0.5000 0.0000
Cd 0.0000 0.0000 0.5000
As 0.0000 0.0000 0.0000
I 0.5000 0.5000 0.5000

# 4
The following is a PBE-GGA calculation of a relaxed CdReAs2I crystal, from Alexandria.

Results
- raw total energy (eV per formula unit) = -13.99
- crystal system = tetragonal
- D(E_F) (states/eV/f.u.) = 7.41
- magnetization (μB/cell) = 0.00
- formation energy from raw total energies (eV/atom) = 2.05

a = 4.9589 Å, b = 4.9589 Å, c = 5.6239 Å
α = 90.00°, β = 90.00°, γ = 90.00°
Space group P4/mmm (No. 123)
Unique sites:
Cd 0.0000 0.0000 0.0000
Re 0.5000 0.5000 0.5000
As 0.0000 0.5000 0.0000
I 0.0000 0.0000 0.5000

# 5
The following is a PBE-GGA calculation of a relaxed CdSbAsI2 crystal, from Alexandria.

Results
- raw total energy (eV per formula unit) = -9.48
- crystal system = tetragonal
- D(E_F) (states/eV/f.u.) = 4.15
- ΔE to the lowest computed polymorph (meV per atom) = 331.4
- magnetization (μB/cell) = 1.12
- formation energy from raw total energies (eV/atom) = 0.66

a = 5.7499 Å, b = 5.7499 Å, c = 5.8434 Å
α = 90.00°, β = 90.00°, γ = 90.00°
Space group P4/mmm (No. 123)
Unique sites:
Cd 0.0000 0.0000 0.0000
Sb 0.0000 0.0000 0.5000
As 0.5000 0.5000 0.5000
I 0.0000 0.5000 0.0000

# 6
The following is a PBE-GGA calculation of a relaxed Cd6SbAs2I2 crystal, from Alexandria.

Results
- raw total energy (eV per formula unit) = -22.84
- crystal system = monoclinic
- D(E_F) (states/eV/f.u.) = 2.89
- magnetization (μB/cell) = 0.00
- formation energy from raw total energies (eV/atom) = -0.08

a = 11.7771 Å, b = 8.6226 Å, c = 7.1737 Å
α = 90.00°, β = 91.69°, γ = 90.00°
Space group C2/m (No. 12)
Unique sites:
Cd 0.0368 0.2189 0.3159
Cd 0.2427 0.0000 0.0095
Sb 0.0000 0.0000 0.0000
As 0.0600 0.5000 0.1425
I 0.2361 0.5000 0.5824

# 7
The following is a PBE-GGA calculation of a relaxed Cd4SbAsI crystal, from Alexandria.

Results
- raw total energy (eV per formula unit) = -14.20
- crystal system = monoclinic
- D(E_F) (states/eV/f.u.) = 1.85
- magnetization (μB/cell) = 0.00
- formation energy from raw total energies (eV/atom) = -0.03

a = 7.1152 Å, b = 6.4248 Å, c = 9.3455 Å
α = 90.00°, β = 100.73°, γ = 90.00°
Space group P2_1/m (No. 11)
Unique sites:
Cd 0.0493 0.2500 0.3229
Cd 0.2439 0.2500 0.0430
Cd 0.3920 0.0283 0.7992
Sb 0.1766 0.7500 0.9744
As 0.4328 0.2500 0.3352
I 0.0568 0.7500 0.3897

# 8
The following is a PBE-GGA calculation of a relaxed CdSbAsI2 crystal, from Alexandria.

Results
- raw total energy (eV per formula unit) = -11.14
- crystal system = tetragonal
- D(E_F) (states/eV/f.u.) = 3.55
- ΔE to the lowest computed polymorph (meV per atom) = 0.0
- magnetization (μB/cell) = 0.16
- formation energy from raw total energies (eV/atom) = 0.33

a = 5.6562 Å, b = 5.6562 Å, c = 5.6242 Å
α = 90.00°, β = 90.00°, γ = 90.00°
Space group P4/mmm (No. 123)
Unique sites:
Cd 0.0000 0.0000 0.0000
Sb 0.5000 0.5000 0.0000
As 0.5000 0.5000 0.5000
I 0.0000 0.5000 0.5000

# 9
The following is a PBE-GGA calculation of a relaxed ScCd2AsI crystal, from Alexandria.

Results
- raw total energy (eV per formula unit) = -13.43
- crystal system = tetragonal
- D(E_F) (states/eV/f.u.) = 3.23
- magnetization (μB/cell) = 0.00
- formation energy from raw total energies (eV/atom) = 0.19

a = 5.9673 Å, b = 5.9673 Å, c = 5.0101 Å
α = 90.00°, β = 90.00°, γ = 90.00°
Space group P4/mmm (No. 123)
Unique sites:
Sc 0.0000 0.0000 0.0000
Cd 0.0000 0.5000 0.0000
As 0.0000 0.0000 0.5000
I 0.5000 0.5000 0.5000

# 10
The following is a PBE-GGA calculation of a relaxed Cd4AsSe2I crystal, from Alexandria.

Results
- raw total energy (eV per formula unit) = -20.44
- crystal system = tetragonal
- D(E_F) (states/eV/f.u.) = 0.09
- magnetization (μB/cell) = 0.00
- formation energy from raw total energies (eV/atom) = -0.45

a = 6.3460 Å, b = 6.3460 Å, c = 12.7730 Å
α = 90.00°, β = 90.00°, γ = 90.00°
Space group I-42m (No. 121)
Unique sites:
Cd 0.2177 0.2177 0.3670
As 0.0000 0.0000 0.5000
Se 0.0000 0.5000 0.2500
I 0.0000 0.0000 0.0000

# 11
The following is a PBE-GGA calculation of a relaxed CdAsSe2I crystal, from Alexandria.

Results
- raw total energy (eV per formula unit) = -10.61
- crystal system = tetragonal
- D(E_F) (states/eV/f.u.) = 7.41
- magnetization (μB/cell) = 0.00
- formation energy from raw total energies (eV/atom) = 0.69

a = 5.1827 Å, b = 5.1827 Å, c = 5.4471 Å
α = 90.00°, β = 90.00°, γ = 90.00°
Space group P4/mmm (No. 123)
Unique sites:
Cd 0.0000 0.0000 0.0000
As 0.0000 0.0000 0.5000
Se 0.0000 0.5000 0.0000
I 0.5000 0.5000 0.5000

# 12
The following is a PBE-GGA calculation of a relaxed SrCdAsI crystal, from Alexandria.

Results
- raw total energy (eV per formula unit) = -12.89
- crystal system = trigonal
- magnetization (μB/cell) = 0.00
- formation energy from raw total energies (eV/atom) = -1.02

a = 4.5793 Å, b = 4.5793 Å, c = 45.8870 Å
α = 90.00°, β = 90.00°, γ = 120.00°
Space group R-3m (No. 166, hexagonal axes)
Unique sites:
Sr 0.0000 0.0000 0.0811
Cd 0.0000 0.0000 0.3118
As 0.0000 0.0000 0.3739
I 0.0000 0.0000 0.2104